Arrangement 1

The following is a GGA-PBEsol calculation of a relaxed structure of ZrTaCu, from Alexandria.

Cell: 2.8881 2.8881 12.1707 Å, 90.00 90.00 90.00°
Space group I4mm (No. 107)
Unique sites:
Zr  0.0000  0.0000  0.0000 x2
Ta  0.0000  0.0000  0.6889 x2
Cu  0.0000  0.0000  0.3359 x2

Its spin magnetization is 0.0 Bohr magnetons per cell.

Arrangement 2

The following is a GGA-PBEsol calculation of a relaxed structure of ZrTaCu, from Alexandria.

Cell: 6.2279 6.2279 6.2279 Å, 90.00 90.00 90.00°
Space group F-43m (No. 216)
Unique sites:
Zr  0.0000  0.0000  0.0000 x4
Ta  0.2500  0.2500  0.7500 x4
Cu  0.0000  0.0000  0.5000 x4

Its spin magnetization is 8.0 Bohr magnetons per cell.

From most stable to least stable, the computed energies give arrangement 1, arrangement 2.

Arrangement 1

The following is a GGA-PBEsol calculation of a relaxed structure of Zr2TaCu, from Alexandria.

Cell: 3.0765 4.8680 9.8537 Å, 90.00 90.00 90.00°
Space group Imm2 (No. 44)
Unique sites:
Zr  0.0000  0.0000  0.0000 x2
Zr  0.0000  0.5000  0.2202 x2
Ta  0.0000  0.0000  0.4565 x2
Cu  0.0000  0.5000  0.7405 x2

Its spin magnetization is 0.0 Bohr magnetons per cell.

Arrangement 2

The following is a GGA-PBEsol calculation of a relaxed structure of Zr2TaCu, from Alexandria.

Cell: 3.0411 3.6506 6.4989 Å, 90.00 90.00 90.00°
Space group Pmm2 (No. 25)
Unique sites:
Zr  0.0000  0.0000  0.0000 x1
Zr  0.5000  0.5000  0.2870 x1
Ta  0.5000  0.5000  0.7400 x1
Cu  0.0000  0.0000  0.5271 x1

Its spin magnetization is 0.0 Bohr magnetons per cell.

Arrangement 3

The following is a GGA-PBEsol calculation of a relaxed structure of Zr2TaCu, from Alexandria.

Cell: 3.0989 3.0989 27.2631 Å, 90.00 90.00 120.00°
Space group R-3m (No. 166, hexagonal axes)
Unique sites:
Zr  0.0000  0.0000  0.2454 x6
Ta  0.0000  0.0000  0.0000 x3
Cu  0.0000  0.0000  0.5000 x3

Its spin magnetization is 0.0 Bohr magnetons per cell.

From most stable to least stable, the computed energies give arrangement 1, arrangement 2, arrangement 3.

Arrangement 1

The following is a GGA-PBEsol calculation of a relaxed structure of CuTc3, from Alexandria.

Cell: 4.3098 5.3210 4.6264 Å, 90.00 90.00 90.00°
Space group Pmmn (No. 59, origin choice 2)
Unique sites:
Cu  0.2500  0.2500  0.1676 x2
Tc  0.2500  0.0005  0.6724 x4
Tc  0.2500  0.7500  0.1618 x2

Its spin magnetization is 0.0 Bohr magnetons per cell.

Arrangement 2

The following is a GGA-PBEsol calculation of a relaxed structure of CuTc3, from Alexandria.

Cell: 5.3060 5.3060 4.3355 Å, 90.00 90.00 120.00°
Space group P6_3/mmc (No. 194)
Unique sites:
Cu  0.3333  0.6667  0.2500 x2
Tc  0.1674  0.3348  0.7500 x6

Its spin magnetization is 0.0 Bohr magnetons per cell.

Arrangement 3

The following is a GGA-PBEsol calculation of a relaxed structure of CuTc3, from Alexandria.

Cell: 2.6838 2.6838 8.6538 Å, 90.00 90.00 120.00°
Space group P-6m2 (No. 187)
Unique sites:
Cu  0.0000  0.0000  0.0000 x1
Tc  0.0000  0.0000  0.5000 x1
Tc  0.3333  0.6667  0.2502 x2

Its spin magnetization is 0.0 Bohr magnetons per cell.

From most stable to least stable, the computed energies give arrangement 2, arrangement 1, arrangement 3.

Arrangement 1

The following is a GGA-PBEsol calculation of a relaxed structure of TlCu2Tc, from Alexandria.

Cell: 3.8361 3.8361 7.9802 Å, 90.00 90.00 90.00°
Space group I-4m2 (No. 119)
Unique sites:
Tl  0.0000  0.0000  0.0000 x2
Cu  0.0000  0.0000  0.5000 x2
Cu  0.0000  0.5000  0.2500 x2
Tc  0.0000  0.5000  0.7500 x2

Its spin magnetization is 0.0 Bohr magnetons per cell.

Arrangement 2

The following is a GGA-PBEsol calculation of a relaxed structure of TlCu2Tc, from Alexandria.

Cell: 6.1998 6.1998 6.1998 Å, 90.00 90.00 90.00°
Space group F-43m (No. 216)
Unique sites:
Tl  0.0000  0.0000  0.0000 x4
Cu  0.0000  0.0000  0.5000 x4
Cu  0.2500  0.2500  0.2500 x4
Tc  0.2500  0.2500  0.7500 x4

Its spin magnetization is 4.4 Bohr magnetons per cell.

Arrangement 3

The following is a GGA-PBEsol calculation of a relaxed structure of TlCu2Tc, from Alexandria.

Cell: 6.1485 6.1485 6.1485 Å, 90.00 90.00 90.00°
Space group Fm-3m (No. 225)
Unique sites:
Tl  0.0000  0.0000  0.0000 x4
Cu  0.2500  0.2500  0.2500 x8
Tc  0.0000  0.0000  0.5000 x4

Its spin magnetization is 4.7 Bohr magnetons per cell.

From most stable to least stable, the computed energies give arrangement 1, arrangement 3, arrangement 2.